Computed, not measured: a PBEsol-optimized structure of BeCd3 at the meta-GGA SCAN level of DFT.

Computed properties:
- excess energy over the best structure of this formula in the dataset (eV/atom) = 0.080
- magnetic moment (μB/cell) = 0.000
- energy relative to the elements (eV per formula unit) = 1.2
- theoretical density (g cm⁻³) = 7.927

Lattice parameters (Å, degrees): 4.809 4.809 3.322 90.00 90.00 109.23
Element x y z (fractional)
Be 0.000 0.000 0.000
Cd 0.000 0.500 0.500
Cd 0.500 0.000 0.500
Cd 0.500 0.500 0.000